This record from Alexandria via LeMat-Bulk describes an optimized crystal structure of RbTl2Au. The functional is PBE.

The structure belongs to space group Pmmn (No. 59, origin choice 2); the cell edges are 4.9081, 6.7926 and 8.0827 Å and the angles 90.00°, 90.00° and 90.00°. Symmetry generates all atoms from Rb at (0.2500, 0.2500, 0.0700), Tl at (0.2500, 0.5042, 0.6460) and Au at (0.2500, 0.7500, 0.3194).

The electronic total energy comes out at -2.376 eV/atom. For the volume, the calculation gives 269 Å³/cell. For the formation enthalpy at 0 K, the calculation gives -131 meV per atom.

This record from Alexandria via LeMat-Bulk describes an optimized crystal structure of Ta2AuSe. The functional is PBE.

The structure belongs to space group Imm2 (No. 44); the cell edges are 3.1541, 4.6736 and 9.7580 Å and the angles 90.00°, 90.00° and 90.00°. Symmetry generates all atoms from Ta at (0.0000, 0.0000, 0.0000), Ta at (0.0000, 0.5000, 0.2382), Au at (0.0000, 0.5000, 0.7682) and Se at (0.0000, 0.0000, 0.5294).

The electronic total energy comes out at -7.578 eV/atom. Its uncorrected formation energy is 39 meV per atom. For the volume, the calculation gives 144 Å³/cell.

This record from Alexandria via LeMat-Bulk describes an optimized crystal structure of Hg4Pb5Au. The functional is PBE.

The structure belongs to space group P4/mmm (No. 123); the cell edges are 3.6746, 3.6746 and 20.2966 Å and the angles 90.00°, 90.00° and 90.00°. Symmetry generates all atoms from Hg at (0.0000, 0.0000, 0.1018), Hg at (0.0000, 0.0000, 0.3055), Pb at (0.5000, 0.5000, 0.0000), Pb at (0.5000, 0.5000, 0.2050), Pb at (0.5000, 0.5000, 0.4129) and Au at (0.0000, 0.0000, 0.5000).

The electronic total energy comes out at -2.284 eV/atom. For the volume, the calculation gives 274 Å³/cell. For the formation enthalpy at 0 K, the calculation gives 18 meV per atom.

This record from Alexandria via LeMat-Bulk describes an optimized crystal structure of YMnAl. The functional is PBE.

The structure belongs to space group F-43m (No. 216); the cell edges are 6.7870, 6.7870 and 6.7870 Å and the angles 90.00°, 90.00° and 90.00°. Symmetry generates all atoms from Y at (0.0000, 0.0000, 0.0000), Mn at (0.2500, 0.2500, 0.2500) and Al at (0.2500, 0.2500, 0.7500).

The electronic total energy comes out at -5.737 eV/atom. For the volume, the calculation gives 313 Å³/cell. For the formation enthalpy at 0 K, the calculation gives 722 meV per atom.

This record from Alexandria via LeMat-Bulk describes an optimized crystal structure of Cs2ScAl. The functional is PBE.

The structure belongs to space group I-42d (No. 122); the cell edges are 14.3596, 14.3596 and 5.4696 Å and the angles 90.00°, 90.00° and 90.00°. Symmetry generates all atoms from Cs at (0.0831, 0.2500, 0.1250), Sc at (0.0000, 0.0000, 0.5000) and Al at (0.0000, 0.0000, 0.0000).

The electronic total energy comes out at -2.311 eV/atom. For the volume, the calculation gives 1128 Å³/cell. For the formation enthalpy at 0 K, the calculation gives 634 meV per atom.

This record from Alexandria via LeMat-Bulk describes an optimized crystal structure of NdDy2Mn. The functional is PBE.

The structure belongs to space group P4/mmm (No. 123); the cell edges are 3.5070, 3.5070 and 9.0137 Å and the angles 90.00°, 90.00° and 90.00°. Symmetry generates all atoms from Nd at (0.0000, 0.0000, 0.0000), Dy at (0.5000, 0.5000, 0.3071) and Mn at (0.0000, 0.0000, 0.5000).

The electronic total energy comes out at -5.663 eV/atom. For the volume, the calculation gives 111 Å³/cell. The value obtained for the energy above the most stable polymorph in this dataset is 0.00 eV per formula unit. For the formation enthalpy at 0 K, the calculation gives 122 meV per atom.

This record from Alexandria via LeMat-Bulk describes an optimized crystal structure of LaCrH6. The functional is PBE.

The structure belongs to space group R-3m (No. 166, hexagonal axes); the cell edges are 6.4230, 6.4230 and 6.4111 Å and the angles 90.00°, 90.00° and 120.00°. Symmetry generates all atoms from La at (0.0000, 0.0000, 0.0000), Cr at (0.0000, 0.0000, 0.5000) and H at (0.1001, 0.5500, 0.3428).

The electronic total energy comes out at -4.573 eV/atom. For the volume, the calculation gives 229 Å³/cell.

This record from Alexandria via LeMat-Bulk describes an optimized crystal structure of Fe4AgMo. The functional is PBE.

The structure belongs to space group F-43m (No. 216); the cell edges are 6.7617, 6.7617 and 6.7617 Å and the angles 90.00°, 90.00° and 90.00°. Symmetry generates all atoms from Fe at (0.1248, 0.1248, 0.1248), Ag at (0.2500, 0.2500, 0.7500) and Mo at (0.0000, 0.0000, 0.5000).

The electronic total energy comes out at -7.754 eV/atom. For the volume, the calculation gives 309 Å³/cell. For the formation enthalpy at 0 K, the calculation gives 168 meV per atom.

This record from Alexandria via LeMat-Bulk describes an optimized crystal structure of Ba2Al2Sn. The functional is PBE.

The structure belongs to space group P4/mbm (No. 127); the cell edges are 7.7487, 7.7487 and 5.3953 Å and the angles 90.00°, 90.00° and 90.00°. Symmetry generates all atoms from Ba at (0.1817, 0.3183, 0.0000), Al at (0.1217, 0.6217, 0.5000) and Sn at (0.0000, 0.0000, 0.5000).

The electronic total energy comes out at -3.301 eV/atom. For the volume, the calculation gives 324 Å³/cell. For the formation enthalpy at 0 K, the calculation gives -235 meV per atom.

This record from Alexandria via LeMat-Bulk describes an optimized crystal structure of TiSn. The functional is PBE.

The structure belongs to space group Fddd (No. 70, origin choice 2); the cell edges are 5.1039, 8.7544 and 15.5154 Å and the angles 90.00°, 90.00° and 90.00°. Symmetry generates all atoms from Ti at (0.1250, 0.1250, 0.0424) and Sn at (0.1250, 0.2929, 0.6250).

The electronic total energy comes out at -5.805 eV/atom. For the volume, the calculation gives 693 Å³/cell. For the formation enthalpy at 0 K, the calculation gives 143 meV per atom.

This record from Alexandria via LeMat-Bulk describes an optimized crystal structure of PaAsPd6. The functional is PBE.

The structure belongs to space group C2/m (No. 12); the cell edges are 6.5656, 9.1312 and 5.6104 Å and the angles 90.00°, 124.37° and 90.00°. Symmetry generates all atoms from Pa at (0.0000, 0.0000, 0.0000), As at (0.0000, 0.5000, 0.5000), Pd at (0.0052, 0.2547, 0.7511) and Pd at (0.2490, 0.0000, 0.7400).

The electronic total energy comes out at -6.090 eV/atom. For the volume, the calculation gives 278 Å³/cell. For the formation enthalpy at 0 K, the calculation gives -428 meV per atom.

This record from Alexandria via LeMat-Bulk describes an optimized crystal structure of LaTaC2. The functional is PBE.

The structure belongs to space group I-42d (No. 122); the cell edges are 5.8892, 5.8892 and 8.0376 Å and the angles 90.00°, 90.00° and 90.00°. Symmetry generates all atoms from La at (0.0000, 0.0000, 0.0000), Ta at (0.0000, 0.0000, 0.5000) and C at (0.1776, 0.2500, 0.6250).

The electronic total energy comes out at -8.903 eV/atom. For the volume, the calculation gives 279 Å³/cell. The value obtained for the energy above the most stable polymorph in this dataset is 0.35 eV per formula unit. For the formation enthalpy at 0 K, the calculation gives -96 meV per atom.